The following is a DFT calculation (PBE with a Hubbard U) of crystalline KVO2 at its relaxed geometry.

Properties
The volume is 278.6 Å³ per cell. The final energy is -6.43 eV per atom.

```
16
Lattice="5.929 0.000 0.000 0.000 8.128 0.000 0.000 0.000 5.782" Properties=species:S:1:pos:R:3 pbc="T T T"
K 0.323 7.131 0.116
K 5.605 0.996 3.006
K 2.641 3.068 3.006
K 3.288 5.060 0.116
O 2.850 7.571 1.008
O 3.078 0.557 3.899
O 0.114 3.507 3.899
O 5.815 4.620 1.008
O 0.801 6.640 3.216
O 5.128 1.488 0.325
O 2.163 2.576 0.325
O 3.765 5.552 3.216
V 0.307 3.039 5.777
V 5.622 5.089 2.886
V 2.658 7.103 2.886
V 3.271 1.025 5.777
```